(1)
An optimized crystal structure of As2OsPb. Source: Alexandria, functional GGA-PBE.

Computed properties:
Its space group is C2/m, No. 12. For the electronic total energy, the calculation gives -23.23 eV for the cell shown. The crystal system is monoclinic. The formation energy from the elements is 253 meV per atom. Its density of states at the Fermi level is 2.31 states/eV/cell. The value obtained for the size of the total moment is 0.00 μB per formula unit.

abc: 4.0290 4.0290 6.7709
angles: 74.93 74.93 55.47
Closest atoms and distances in Å follow each position.
Sites, in units of the cell vectors:
1 As 0.4785 0.4785 0.5781  3 Os 2.53-2.54
2 Pb 0.2500 0.2500 0.2500  6 As 3.11-3.12
3 Os 0.7500 0.7500 0.7500  6 As 2.53-2.54
4 As 0.0215 0.0215 0.9219  3 Os 2.53-2.54

***

(2)
An optimized crystal structure of As2OsPb. Source: Alexandria, functional GGA-PBE.

Computed properties:
Its space group is P4/mmm, No. 123. For the electronic total energy, the calculation gives -20.69 eV for the cell shown. The crystal system is tetragonal. The formation energy from the elements is 886 meV per atom. Its density of states at the Fermi level is 4.09 states/eV/cell. The value obtained for the size of the total moment is 0.00 μB per formula unit.

abc: 4.9195 4.9195 3.2043
angles: 90.00 90.00 90.00
Closest atoms and distances in Å follow each position.
Sites, in units of the cell vectors:
1 Pb 0.0000 0.5000 0.5000  8 As 2.94, 2 Pb 3.20
2 As 0.5000 0.5000 0.0000  4 Pb 2.94, 4 Os 2.94, 2 As 3.20
3 As 0.0000 0.0000 0.0000  4 Pb 2.94, 4 Os 2.94, 2 As 3.20
4 Os 0.5000 0.0000 0.5000  8 As 2.94, 2 Os 3.20

***

(3)
An optimized crystal structure of As2OsPb. Source: Alexandria, functional GGA-PBE.

Computed properties:
Its space group is Imm2, No. 44. For the electronic total energy, the calculation gives -23.44 eV for the cell shown. The crystal system is orthorhombic. The formation energy from the elements is 199 meV per atom. Its density of states at the Fermi level is 2.32 states/eV/cell. The value obtained for the size of the total moment is 0.00 μB per formula unit.

abc: 9.2834 9.2834 9.2834
angles: 160.94 160.71 27.25
Closest atoms and distances in Å follow each position.
Sites, in units of the cell vectors:
1 As 0.9766 0.9766 0.0000  4 Os 2.57
2 Os 0.5516 0.5516 0.0000  6 As 2.49-2.57
3 As 0.6604 0.1604 0.5000  2 Os 2.49
4 Pb 0.3114 0.8114 0.5000  4 Pb 3.07-3.11, 2 As 3.36

***

(4)
An optimized crystal structure of AsOsPb. Source: Alexandria, functional GGA-PBE.

Computed properties:
Its space group is I4mm, No. 107. For the electronic total energy, the calculation gives -18.81 eV for the cell shown. The crystal system is tetragonal. The formation energy from the elements is 259 meV per atom. Its density of states at the Fermi level is 1.61 states/eV/cell. The value obtained for the size of the total moment is 0.00 μB per formula unit. As for the energy relative to the lowest polymorph listed for this composition: 0 meV/atom.

abc: 6.8918 6.8916 3.1200
angles: 76.92 76.91 26.17
Closest atoms and distances in Å follow each position.
Sites, in units of the cell vectors:
1 Os 0.3561 0.3561 0.6439  4 As 2.55
2 As 0.9543 0.9543 0.0457  4 Os 2.55
3 Pb 0.6896 0.6896 0.3104  4 Os 3.10, 4 Pb 3.12, 1 As 3.46

***

(5)
An optimized crystal structure of As2OsPb. Source: Alexandria, functional GGA-PBE.

Computed properties:
Its space group is R3m, No. 160. For the electronic total energy, the calculation gives -22.42 eV for the cell shown. The crystal system is trigonal. The formation energy from the elements is 453 meV per atom. Its density of states at the Fermi level is 2.76 states/eV/cell. The value obtained for the size of the total moment is 0.00 μB per formula unit.

abc: 9.4581 9.4581 9.4581
angles: 19.52 19.52 19.52
Closest atoms and distances in Å follow each position.
Sites, in units of the cell vectors:
1 Os 0.5092 0.5092 0.5092  3 As 2.47
2 As 0.2345 0.2345 0.2345  3 Os 2.47
3 As 0.9980 0.9980 0.9980  3 Pb 3.20, 9 As 3.21-3.27
4 Pb 0.7584 0.7584 0.7584  3 Os 2.98, 3 As 3.20, 6 Pb 3.21

***

(6)
An optimized crystal structure of AsOsPb3. Source: Alexandria, functional GGA-PBE.

Computed properties:
Its space group is Pm-3m, No. 221. For the electronic total energy, the calculation gives -19.40 eV for the cell shown. The crystal system is cubic. The formation energy from the elements is 1520 meV per atom. Its density of states at the Fermi level is 4.29 states/eV/cell. The value obtained for the size of the total moment is 2.15 μB per formula unit. As for the energy relative to the lowest polymorph listed for this composition: 968 meV/atom.

abc: 5.4690 5.4690 5.4690
angles: 90.00 90.00 90.00
Closest atoms and distances in Å follow each position.
Sites, in units of the cell vectors:
1 Pb 0.0000 0.5000 0.0000  2 As 2.73
2 As 0.0000 0.0000 0.0000  6 Pb 2.73
3 Pb 0.0000 0.0000 0.5000  2 As 2.73
4 Os 0.5000 0.5000 0.5000  12 Pb 3.87
5 Pb 0.5000 0.0000 0.0000  2 As 2.73

***

density of states at the Fermi level of number 1 (As2OsPb)?
2.31 states/eV/cell

***

Which value of formation energy from the elements does entry 4 give?
259 meV per atom